A plane-wave DFT calculation with PBE was carried out for crystalline GdScAg4 at its relaxed geometry.

```
GdScAg4
1.0
-0.007 3.513 1.014
0.804 -0.987 3.427
8.947 0.577 -1.933
Ag Gd Sc
4 1 1
direct
0.500 0.500 0.181
0.000 0.000 0.342
0.000 0.000 0.658
0.500 0.500 0.819
0.000 0.000 0.000
0.500 0.500 0.500
```

calculated total energy: -4.01 eV per atom
calculated formation energy: -0.299 eV/atom

A plane-wave DFT calculation with PBE was carried out for crystalline GdScAg at its relaxed geometry.

```
GdScAg
1.0
0.000 3.366 3.366
3.366 0.000 3.366
3.366 3.366 0.000
Ag Gd Sc
1 1 1
direct
0.250 0.250 0.250
0.750 0.750 0.750
0.000 0.000 0.000
```

calculated total energy: -4.12 eV per atom
calculated formation energy: 0.481 eV/atom

> Which of these has the highest calculated total energy?

GdScAg4